Entry 1:
A geometry-optimized PrICl structure, computed with GGA-PBE.

* relative energy among the computed polymorphs: 0.13 eV/f.u.

Cell and atoms, written as POSCAR:
```
PrICl
1.0
-0.173 0.301 3.725
3.703 -0.489 0.211
-0.773 7.379 -2.510
Cl Pr I
1 1 1
Direct
0.281 0.281 0.562
0.676 0.676 0.353
0.043 0.043 0.085
```

***

Entry 2:
A geometry-optimized Pr2I4Cl structure, computed with GGA-PBE.

Cell and atoms, written as POSCAR:
```
Pr2I4Cl
1.0
-2.534 2.050 -2.377
-8.281 -2.271 6.871
2.154 9.195 5.634
I Pr Cl
8 4 2
Direct
0.500 0.169 0.605
0.500 0.395 0.831
0.000 0.895 0.669
0.500 0.831 0.395
0.000 0.105 0.331
0.000 0.331 0.105
0.500 0.605 0.169
0.000 0.669 0.895
0.000 0.838 0.162
0.000 0.162 0.838
0.500 0.338 0.338
0.500 0.662 0.662
0.000 0.500 0.500
0.500 0.000 0.000
```

***

Entry 3:
A geometry-optimized PrI2Cl structure, computed with GGA-PBE.

* relative energy among the computed polymorphs: 0.00 eV/f.u.

Cell and atoms, written as POSCAR:
```
PrI2Cl
1.0
4.265 0.004 0.000
-2.122 7.751 0.000
0.000 0.000 9.884
Cl I Pr
2 4 2
Direct
0.371 0.745 0.250
0.629 0.255 0.750
0.149 0.295 0.061
0.149 0.295 0.439
0.851 0.705 0.561
0.851 0.705 0.939
0.757 0.513 0.250
0.243 0.487 0.750
```

***

Entry 4:
A geometry-optimized Pr2I2Cl structure, computed with GGA-PBE.

Cell and atoms, written as POSCAR:
```
Pr2I2Cl
1.0
-5.982 -1.767 0.497
3.983 -0.653 6.229
-2.559 8.207 -1.631
Pr I Cl
4 4 2
Direct
0.512 0.024 0.279
0.166 0.332 0.571
0.488 0.976 0.721
0.834 0.668 0.429
0.293 0.587 0.332
0.707 0.413 0.668
0.964 0.927 0.190
0.036 0.073 0.810
0.643 0.287 0.097
0.357 0.713 0.903
```

***

Entry 5:
A geometry-optimized Pr4PtI2Cl structure, computed with GGA-PBE.

Cell and atoms, written as POSCAR:
```
Pr4PtI2Cl
1.0
4.201 0.000 0.000
0.000 7.293 0.079
0.000 -2.620 8.039
I Pr Cl Pt
2 4 1 1
Direct
0.500 0.000 0.500
0.000 0.500 0.500
0.000 0.725 0.199
0.000 0.275 0.801
0.500 0.778 0.802
0.500 0.222 0.198
0.500 0.500 0.000
0.000 0.000 0.000
```

***

Entry 6:
A geometry-optimized Pr8Rh3I3Cl structure, computed with GGA-PBE.

Cell and atoms, written as POSCAR:
```
Pr8Rh3I3Cl
1.0
8.575 0.000 0.000
-4.287 7.427 -0.027
0.000 -4.923 7.766
I Rh Pr Cl
3 3 8 1
Direct
0.500 0.500 0.000
0.000 0.500 0.000
0.000 0.000 0.000
0.500 0.500 0.500
0.000 0.500 0.500
0.500 0.000 0.500
0.295 0.045 0.296
0.729 0.459 0.688
0.250 0.955 0.704
0.250 0.500 0.705
0.271 0.541 0.312
0.750 0.500 0.295
0.705 0.955 0.704
0.750 0.045 0.296
0.000 0.000 0.500
```

***

Entry 7:
A geometry-optimized Pr6Ru2I3Cl structure, computed with GGA-PBE.

Cell and atoms, written as POSCAR:
```
Pr6Ru2I3Cl
1.0
-2.688 0.894 -6.810
-4.416 -2.337 5.426
0.427 8.224 2.231
I Pr Ru Cl
3 6 2 1
Direct
0.500 0.500 0.500
0.164 0.836 0.500
0.836 0.164 0.500
0.063 0.424 0.190
0.937 0.576 0.810
0.424 0.063 0.190
0.298 0.298 0.811
0.576 0.937 0.810
0.702 0.702 0.189
0.333 0.667 0.000
0.667 0.333 0.000
0.000 0.000 0.000
```

***

Entry 8:
A geometry-optimized Pr8Ru3I4Cl structure, computed with GGA-PBE.

Cell and atoms, written as POSCAR:
```
Pr8Ru3I4Cl
1.0
8.533 0.000 0.000
0.000 9.477 0.668
-4.267 -4.261 6.034
Pr Ru I Cl
8 3 4 1
Direct
0.730 0.689 0.459
0.703 0.687 0.945
0.242 0.687 0.484
0.758 0.313 0.516
0.297 0.313 0.055
0.758 0.313 0.055
0.242 0.687 0.945
0.270 0.311 0.541
0.500 0.500 0.000
0.500 0.500 0.500
0.000 0.500 0.500
0.500 0.000 0.500
0.500 0.000 0.000
0.000 0.000 0.000
0.000 0.000 0.500
0.000 0.500 0.000
```

***

Entry 9:
A geometry-optimized Pr8Si3I4Cl structure, computed with GGA-PBE.

Cell and atoms, written as POSCAR:
```
Pr8Si3I4Cl
1.0
-7.580 4.130 0.775
-3.153 -4.385 -7.475
3.015 -4.791 6.561
Si Pr I Cl
3 8 4 1
Direct
0.500 0.500 0.500
0.500 0.500 0.000
0.000 0.500 0.500
0.238 0.696 0.958
0.720 0.696 0.958
0.238 0.696 0.476
0.733 0.698 0.465
0.762 0.304 0.524
0.280 0.304 0.042
0.762 0.304 0.042
0.267 0.302 0.535
0.000 0.000 0.000
0.000 0.000 0.500
0.500 0.000 0.000
0.500 0.000 0.500
0.000 0.500 0.000
```

***

Entry 10:
A geometry-optimized Pr4SiI2Cl structure, computed with GGA-PBE.

Cell and atoms, written as POSCAR:
```
Pr4SiI2Cl
1.0
-4.031 0.014 -1.574
-1.719 -5.443 4.355
-1.532 7.097 3.985
Pr I Cl Si
4 2 1 1
Direct
0.500 0.772 0.809
0.500 0.228 0.191
0.000 0.734 0.197
0.000 0.266 0.803
0.500 0.000 0.500
0.000 0.500 0.500
0.000 0.000 0.000
0.500 0.500 0.000
```

***

Entry 11:
A geometry-optimized Pr8Si3I3Cl structure, computed with GGA-PBE.

Cell and atoms, written as POSCAR:
```
Pr8Si3I3Cl
1.0
-4.580 4.866 -5.493
5.957 -5.498 -3.026
-7.673 -3.377 3.406
I Pr Si Cl
3 8 3 1
Direct
0.000 0.000 0.000
0.000 0.500 0.000
0.500 0.500 0.000
0.247 0.964 0.711
0.266 0.532 0.298
0.734 0.468 0.702
0.753 0.505 0.289
0.247 0.495 0.711
0.717 0.964 0.711
0.283 0.036 0.289
0.753 0.036 0.289
0.500 0.000 0.500
0.500 0.500 0.500
0.000 0.500 0.500
0.000 0.000 0.500
```

***

Entry 12:
A geometry-optimized Pr6Si2I3Cl structure, computed with GGA-PBE.

Cell and atoms, written as POSCAR:
```
Pr6Si2I3Cl
1.0
-3.738 4.404 -4.744
4.066 -5.707 -2.602
-6.287 -4.217 3.003
Pr I Cl Si
6 3 1 2
Direct
0.593 0.935 0.804
0.407 0.065 0.196
0.065 0.407 0.196
0.935 0.593 0.804
0.277 0.277 0.805
0.723 0.723 0.195
0.832 0.168 0.500
0.168 0.832 0.500
0.500 0.500 0.500
0.000 0.000 0.000
0.666 0.334 0.000
0.334 0.666 0.000
```

***

Entry 13:
A geometry-optimized Pt2I4Cl5 structure, computed with GGA-PBE.

Cell and atoms, written as POSCAR:
```
Pt2I4Cl5
1.0
-3.522 -7.105 -6.254
0.831 -6.568 -4.880
1.611 -5.341 9.732
Cl Pt I
5 2 4
Direct
0.000 0.000 0.500
0.201 0.987 0.870
0.799 0.013 0.130
0.713 0.559 0.137
0.287 0.441 0.863
0.971 0.635 0.269
0.029 0.365 0.731
0.079 0.234 0.352
0.502 0.221 0.356
0.921 0.766 0.648
0.498 0.779 0.644
```

***

Entry 14:
A geometry-optimized PtI4Cl structure, computed with GGA-PBE.

* relative energy among the computed polymorphs: 0.26 eV/f.u.

Cell and atoms, written as POSCAR:
```
PtI4Cl
1.0
-2.530 -4.846 2.089
7.121 -4.871 -2.675
1.246 5.171 9.151
I Cl Pt
8 2 2
Direct
0.000 0.304 0.000
0.572 0.831 0.244
0.203 0.715 0.431
0.000 0.696 0.000
0.797 0.285 0.569
0.428 0.169 0.756
0.428 0.587 0.756
0.572 0.413 0.244
0.979 0.176 0.353
0.021 0.824 0.647
0.291 0.568 0.136
0.709 0.432 0.864
```

***

Entry 15:
A geometry-optimized PtI2Cl structure, computed with GGA-PBE.

* relative energy among the computed polymorphs: 0.28 eV/f.u.

Cell and atoms, written as POSCAR:
```
PtI2Cl
1.0
3.961 0.000 0.000
0.000 7.371 2.433
0.000 0.900 8.153
I Pt Cl
4 2 2
Direct
0.923 0.476 0.800
0.423 0.524 0.200
0.423 0.948 0.797
0.923 0.052 0.203
0.423 0.281 0.015
0.923 0.719 0.985
0.923 0.263 0.545
0.423 0.737 0.455
```

***

Entry 16:
A geometry-optimized PtI2Cl6 structure, computed with GGA-PBE.

Cell and atoms, written as POSCAR:
```
PtI2Cl6
1.0
-1.498 5.206 6.508
8.610 0.939 6.408
3.714 9.931 -1.912
Cl Pt I
12 2 4
Direct
0.829 0.232 0.988
0.958 0.979 0.225
0.329 0.988 0.232
0.458 0.225 0.979
0.123 0.752 0.532
0.623 0.532 0.752
0.877 0.248 0.468
0.042 0.021 0.775
0.171 0.768 0.012
0.377 0.468 0.248
0.542 0.775 0.021
0.671 0.012 0.768
0.250 0.879 0.121
0.750 0.121 0.879
0.872 0.643 0.643
0.372 0.643 0.643
0.628 0.357 0.357
0.128 0.357 0.357
```

***

Entry 17:
A geometry-optimized Pt5I12Cl structure, computed with GGA-PBE.

Cell and atoms, written as POSCAR:
```
Pt5I12Cl
1.0
-4.386 1.778 -3.451
-8.448 -2.137 3.379
-6.204 10.693 10.552
Cl Pt I
1 5 12
Direct
0.000 0.000 0.000
0.833 0.333 0.500
0.641 0.672 0.974
0.360 0.328 0.026
0.500 0.000 0.500
0.167 0.667 0.500
0.450 0.565 0.883
0.714 0.895 0.820
0.795 0.767 0.078
0.286 0.105 0.180
0.882 0.762 0.617
0.545 0.427 0.619
0.205 0.233 0.922
0.455 0.574 0.381
0.118 0.238 0.383
0.213 0.096 0.617
0.787 0.904 0.383
0.550 0.435 0.117
```

***

Entry 18:
A geometry-optimized PtI2Cl structure, computed with GGA-PBE.

* relative energy among the computed polymorphs: 2.92 eV/f.u.

Cell and atoms, written as POSCAR:
```
PtI2Cl
1.0
0.000 3.607 3.607
3.607 0.000 3.607
3.607 3.607 0.000
Pt Cl I
1 1 2
Direct
0.500 0.500 0.500
0.000 0.000 0.000
0.750 0.750 0.750
0.250 0.250 0.250
```

***

Entry 19:
A geometry-optimized PtI4Cl structure, computed with GGA-PBE.

* relative energy among the computed polymorphs: 0.00 eV/f.u.

Cell and atoms, written as POSCAR:
```
PtI4Cl
1.0
6.701 1.530 0.974
2.848 7.894 3.464
0.995 0.280 10.442
I Cl Pt
8 2 2
Direct
0.713 0.750 0.600
0.745 0.350 0.174
0.255 0.650 0.826
0.755 0.975 0.174
0.287 0.250 0.400
0.787 0.150 0.600
0.213 0.850 0.400
0.245 0.025 0.826
0.750 0.652 0.195
0.250 0.348 0.805
0.250 0.949 0.603
0.750 0.051 0.397
```

***

Entry 20:
A geometry-optimized Pt2I4Cl3 structure, computed with GGA-PBE.

Cell and atoms, written as POSCAR:
```
Pt2I4Cl3
1.0
-7.042 -0.045 -6.728
2.334 -6.489 -5.723
-6.922 -4.100 3.949
Cl Pt I
6 4 8
Direct
0.947 0.047 0.745
0.447 0.745 0.047
0.553 0.255 0.953
0.250 0.444 0.556
0.053 0.953 0.255
0.750 0.556 0.444
0.660 0.835 0.528
0.840 0.472 0.165
0.160 0.528 0.835
0.340 0.165 0.472
0.839 0.815 0.700
0.539 0.142 0.625
0.039 0.625 0.142
0.161 0.185 0.300
0.661 0.300 0.185
0.339 0.700 0.815
0.461 0.858 0.375
0.961 0.375 0.858
```

***

M_tot? In order: 0.0; 0.0; 0.0; 0.0; 0.0; 0.0; 0.0; 0.0; 0.0; 0.0; 0.0; 0.0; 0.0; 0.0; 0.0; 3.8; 0.0; 0.0; 0.0; 0.0 μB per cell.
E_form (uncorrected)? In order: -1.614; -1.284; -1.716; -1.346; -1.098; -0.849; -0.880; -0.785; -1.022; -1.052; -0.898; -1.042; -0.029; -0.039; -0.076; -0.139; -0.074; 0.584; -0.082; -0.069 eV/atom.